# K2Li3VF12 PBE+U optimized geometry
data_K2Li3VF12
_cell_length_a 6.9402
_cell_length_b 6.9402
_cell_length_c 19.6922
_cell_angle_alpha 90.00
_cell_angle_beta 90.00
_cell_angle_gamma 120.00
_symmetry_space_group_name_H-M 'R -3 m'
_symmetry_Int_Tables_number 166
_symmetry_space_group_name_Hall '-R 3 2"'
loop_
_atom_site_label
_atom_site_type_symbol
_atom_site_fract_x
_atom_site_fract_y
_atom_site_fract_z
_atom_site_occupancy
K1 K 0.0000 0.0000 0.0936 1
Li1 Li 0.0000 0.5000 0.0000 1
V1 V 0.0000 0.0000 0.5000 1
F1 F 0.0602 0.5301 0.3607 1
F2 F 0.0855 0.5428 0.1141 1
# **Raw total energy**: -242.287 eV for the cell shown
# **Total magnetization**: 2.0 μB per formula unit
# **Density**: 2.3 g/cm3